[1]
# NaTaO3 (GGA-PBEsol, relaxed)
data_NaTaO3
_cell_length_a 5.4891
_cell_length_b 5.4891
_cell_length_c 3.9580
_cell_angle_alpha 90.00
_cell_angle_beta 90.00
_cell_angle_gamma 90.00
_symmetry_space_group_name_H-M 'P 4/m b m'
_symmetry_Int_Tables_number 127
_symmetry_space_group_name_Hall '-P 4 2ab'
loop_
_atom_site_label
_atom_site_fract_x
_atom_site_fract_y
_atom_site_fract_z
Na1 0.0000 0.5000 0.0000
Ta1 0.0000 0.0000 0.5000
O1 0.0000 0.0000 0.0000
O2 0.1992 0.3008 0.5000
# Uncorrected formation energy   -13.29 eV/f.u.

=====

[2]
# HgMo2W (GGA-PBEsol, relaxed)
data_HgMo2W
_cell_length_a 3.3104
_cell_length_b 4.4369
_cell_length_c 8.8979
_cell_angle_alpha 90.00
_cell_angle_beta 90.00
_cell_angle_gamma 90.00
_symmetry_space_group_name_H-M 'I m m 2'
_symmetry_Int_Tables_number 44
loop_
_symmetry_equiv_pos_as_xyz
'x,y,z'
'-x,-y,z'
'-x,y,z'
'x,-y,z'
'x+1/2,y+1/2,z+1/2'
'-x+1/2,-y+1/2,z+1/2'
'-x+1/2,y+1/2,z+1/2'
'x+1/2,-y+1/2,z+1/2'
loop_
_atom_site_label
_atom_site_fract_x
_atom_site_fract_y
_atom_site_fract_z
Hg1 0.0000 0.0000 0.0000
Mo1 0.0000 0.0000 0.5024
Mo2 0.0000 0.5000 0.7683
W1 0.0000 0.5000 0.2332
# Energy of formation from the pure elements   0.4493 eV per atom

=====

[3]
# Dy2Ti3Si4 (GGA-PBEsol, relaxed)
data_Dy2Ti3Si4
_cell_length_a 6.9718
_cell_length_b 6.9718
_cell_length_c 12.8283
_cell_angle_alpha 90.00
_cell_angle_beta 90.00
_cell_angle_gamma 90.00
_symmetry_space_group_name_H-M 'P 41 21 2'
_symmetry_Int_Tables_number 92
loop_
_symmetry_equiv_pos_as_xyz
'x,y,z'
'-y+1/2,x+1/2,z+1/4'
'-x,-y,z+1/2'
'y+1/2,-x+1/2,z+3/4'
'x+1/2,-y+1/2,-z+3/4'
'-y,-x,-z+1/2'
'-x+1/2,y+1/2,-z+1/4'
'y,x,-z'
loop_
_atom_site_label
_atom_site_fract_x
_atom_site_fract_y
_atom_site_fract_z
Dy1 0.0029 0.3394 0.0333
Ti1 0.0072 0.1528 0.6232
Ti2 0.1724 0.8276 0.7500
Si1 0.0460 0.7083 0.9347
Si2 0.1307 0.2025 0.8154
# Uncorrected formation energy   -7.85 eV/f.u.

=====

no.,energy (eV for the cell shown)
1,-85.976
2,-72.226
3,-263.056